This record from Alexandria via LeMat-Bulk describes crystalline Te3PbBr at its relaxed geometry. The functional is PBE.

```
Te3PbBr
1.0
-0.5806 -5.5075 -0.8416
-0.1665 -0.8286 5.5375
-5.5689 0.5990 -0.0779
Te Br Pb
3 1 1
Cartesian
-0.2903 -2.7537 -0.4208
-0.0833 -0.4143 2.7687
-2.7845 0.2995 -0.0389
0.0000 0.0000 0.0000
-3.1580 -2.8686 2.3090
```

**Total DFT energy (no corrections)**: -2.49 eV per atom
**Volume**: 175.77 Å³/f.u.
**Relative energy among the computed polymorphs**: 0.0000 eV/atom